[1]
First-principles (PBE) data for an optimized crystal structure of Ho2ErFe, as listed in the Alexandria database.

Cell: 5.198 5.198 5.193 Å, 59.97 59.97 60.00°
Fractional coordinates of all 4 atoms:
Ho 0.250 0.250 0.251
Ho 0.750 0.750 0.749
Fe 0.000 0.000 0.000
Er 0.500 0.500 0.500

Properties
M_tot in μB/f.u.: 1.8
ΔE to the lowest computed polymorph in eV/atom: 0.386
SG: Fm-3m
E_form in eV/atom: 0.359
ρ in g/cm3: 9.3
Crystal system: cubic

[2]
First-principles (PBE) data for an optimized crystal structure of PmAl5Pd3, as listed in the Alexandria database.

Cell: 4.087 6.767 12.605 Å, 90.00 90.00 107.58°
Fractional coordinates of all 18 atoms:
Pm 0.162 0.325 0.250
Pm 0.838 0.675 0.750
Pd 0.129 0.258 0.750
Pd 0.610 0.219 0.455
Pd 0.610 0.219 0.045
Pd 0.871 0.742 0.250
Pd 0.390 0.781 0.955
Pd 0.390 0.781 0.545
Al 0.201 0.402 0.938
Al 0.560 0.119 0.649
Al 0.000 0.000 0.000
Al 0.560 0.119 0.851
Al 0.201 0.402 0.562
Al 0.799 0.598 0.062
Al 0.440 0.881 0.351
Al 0.799 0.598 0.438
Al 0.000 0.000 0.500
Al 0.440 0.881 0.149

Properties
M_tot in μB/f.u.: 0.0
SG: Cmcm
E_form in eV/atom: -0.704
ρ in g/cm3: 6.0
Crystal system: orthorhombic

[3]
First-principles (PBE) data for an optimized crystal structure of CaPmGdEr, as listed in the Alexandria database.

Cell: 5.780 5.780 5.780 Å, 60.00 60.00 60.00°
Fractional coordinates of all 4 atoms:
Er 0.750 0.750 0.750
Pm 0.500 0.500 0.500
Gd 0.000 0.000 0.000
Ca 0.250 0.250 0.250

Properties
M_tot in μB/f.u.: 7.5
SG: F-43m
E_form in eV/atom: 0.129
ρ in g/cm3: 6.2
Crystal system: cubic

[4]
First-principles (PBE) data for an optimized crystal structure of Li3Pd3Au5, as listed in the Alexandria database.

Cell: 2.783 8.920 8.920 Å, 120.00 90.00 90.00°
Fractional coordinates of all 11 atoms:
Pd 0.000 0.440 0.440
Pd 0.000 0.560 0.000
Pd 0.000 0.000 0.560
Au 0.500 0.821 0.000
Au 0.500 0.333 0.667
Au 0.500 0.667 0.333
Au 0.500 0.000 0.821
Au 0.500 0.179 0.179
Li 0.500 0.670 0.670
Li 0.500 0.000 0.330
Li 0.500 0.330 0.000

Properties
M_tot in μB/f.u.: 0.0
ΔE to the lowest computed polymorph in eV/atom: 0.000
SG: P-62m
E_form in eV/atom: -0.134
ρ in g/cm3: 11.5
Crystal system: hexagonal

[5]
First-principles (PBE) data for an optimized crystal structure of Ba2POs, as listed in the Alexandria database.

Cell: 5.921 5.921 5.921 Å, 136.05 120.71 76.67°
Fractional coordinates of all 4 atoms:
Ba 0.966 0.966 0.000
Ba 0.287 0.787 0.500
Os 0.607 0.607 0.000
P 0.640 0.140 0.500

Properties
M_tot in μB/f.u.: 0.0
SG: Imm2
E_form in eV/atom: -0.161
ρ in g/cm3: 6.8
Crystal system: orthorhombic

[6]
First-principles (PBE) data for an optimized crystal structure of BaSnF2, as listed in the Alexandria database.

Cell: 7.197 7.197 7.197 Å, 34.84 34.84 34.84°
Fractional coordinates of all 4 atoms:
F 0.876 0.876 0.876
F 0.124 0.124 0.124
Ba 0.500 0.500 0.500
Sn 0.000 0.000 0.000

Properties
M_tot in μB/f.u.: 0.0
ΔE to the lowest computed polymorph in eV/atom: 0.000
SG: R-3m
ρ in g/cm3: 4.5
Crystal system: trigonal
E_form (uncorrected) in eV per atom: -2.43